VASP calculation (PBE+U) on a relaxed CrInClO4 crystal.

Cell lengths 9.0442, 6.9908, 9.1827 Å; angles 90.00, 117.73, 90.00 degrees
Closest atoms and distances in Å follow each position.
Space group C2/m (No. 12)
One atom of each set of equivalent atoms:
Cr: 0.1912 0.0000 0.3335  4 O 1.66-1.67
In: 0.0464 0.5000 0.2221  4 O 2.17
Cl: 0.2086 0.5000 0.0587  2 In 2.54
O: 0.0755 0.1918 0.2431  1 Cr 1.67
O: 0.1344 0.5000 0.6842  1 Cr 1.66
O: 0.2415 0.0000 0.5329  1 Cr 1.67

Properties
- N(E_F): 0.00 states/eV/cell
- ρ: 3.44 Mg/m³
- Total energy: -5.7872 eV per atom